1.
Entry from Alexandria via LeMat-Bulk: a relaxed InGa2Si crystal (PBE).

Summary:
The uncorrected formation energy comes out at 0.19 eV per atom. The uncorrected energy comes out at -13.452 eV per cell.

a = 3.3424 Å, b = 3.3424 Å, c = 7.2392 Å
α = 90.00°, β = 90.00°, γ = 90.00°
Space group P4/mmm (No. 123)
Symmetry-distinct sites (fractional):
In 0.0000 0.0000 0.0000 (multiplicity 1)
Ga 0.5000 0.5000 0.3003 (multiplicity 2)
Si 0.0000 0.0000 0.5000 (multiplicity 1)

2.
Entry from Alexandria via LeMat-Bulk: a relaxed MnFe3 crystal (PBE).

Summary:
As for the energy of formation from the pure elements: 0.120 eV/atom. The uncorrected energy comes out at -102.227 eV per cell.

a = 2.4665 Å, b = 2.4665 Å, c = 24.4180 Å
α = 90.00°, β = 90.00°, γ = 120.00°
Space group R-3m (No. 166, hexagonal axes)
Symmetry-distinct sites (fractional):
Mn 0.0000 0.0000 0.0000 (multiplicity 3)
Fe 0.0000 0.0000 0.2515 (multiplicity 6)
Fe 0.0000 0.0000 0.5000 (multiplicity 3)

3.
Entry from Alexandria via LeMat-Bulk: a relaxed Pm4Ho10Er crystal (PBE).

Summary:
As for the energy of formation from the pure elements: 0.268 eV/atom. The uncorrected energy comes out at -130.633 eV per cell.

a = 11.2431 Å, b = 11.2431 Å, c = 7.9022 Å
α = 90.00°, β = 90.00°, γ = 90.00°
Space group I4/mmm (No. 139)
Symmetry-distinct sites (fractional):
Pm 0.2285 0.2285 0.0000 (multiplicity 8)
Ho 0.0000 0.2085 0.2929 (multiplicity 16)
Ho 0.0000 0.5000 0.2500 (multiplicity 4)
Er 0.0000 0.0000 0.0000 (multiplicity 2)